Material: NaZrAsOs2
Method: DFT, GGA-PBE
State: optimized geometry

Values from the calculation:
Its total magnetization is 0.00 μB/cell. The calculation puts the total DFT energy (no corrections) at -0.240 Ha/atom. The value obtained for the density of states at the Fermi level is 3.7 states/eV per cell. For the energy of formation, the calculation gives 0.86 eV per atom. The crystal system is tetragonal. The value obtained for the volume is 98.02 Å³ per cell.

Structure (POSCAR):
```
NaZrAsOs2
1.0
4.571 0.000 0.000
0.000 4.571 0.000
0.000 0.000 4.690
Na Zr As Os
1 1 1 2
direct
0.000 0.000 0.000
0.500 0.500 0.000
0.000 0.000 0.500
0.000 0.500 0.500
0.500 0.000 0.500
```